Entry from Alexandria via LeMat-Bulk: HgOsAu2 after structural relaxation (PBE).

Geometry as CIF:
```
data_HgOsAu2
_symmetry_space_group_name_H-M 'F -4 3 m'
_symmetry_Int_Tables_number 216
_symmetry_space_group_name_Hall 'F -4 2 3'
_cell_length_a 6.590
_cell_length_b 6.590
_cell_length_c 6.590
_cell_angle_alpha 90.00
_cell_angle_beta 90.00
_cell_angle_gamma 90.00
loop_
_atom_site_label
_atom_site_fract_x
_atom_site_fract_y
_atom_site_fract_z
Hg1 0.000 0.000 0.000
Os1 0.250 0.250 0.250
Au1 0.000 0.000 0.500
Au2 0.250 0.250 0.750
```

Values from the calculation:
DFT formation energy = 778 meV per atom
size of the total moment = 0.266 μB/atom